(1)
Computed, not measured: an optimized crystal structure of AcBeGaPt6 at the GGA-PBE level of DFT.

Output
E	-102.9	eV/cell
space-group type	No. 74
E_form	-0.485	eV/atom
density	13.87	g cm⁻³
Fermi-level density of states	4.60	states/eV/f.u.

Cell lengths 7.9686, 7.9686, 7.9686 Å; angles 123.17, 118.09, 88.97 degrees
Fractional positions:
Ac (0.4049, 0.1549, 0.2500)
Ac (0.5951, 0.8451, 0.7500)
Be (0.0000, 0.5000, 0.5000)
Be (0.5000, 0.5000, 0.0000)
Ga (0.0000, 0.0000, 0.5000)
Ga (0.0000, 0.5000, 0.0000)
Pt (0.1092, 0.3844, 0.2544)
Pt (0.1092, 0.8548, 0.7248)
Pt (0.1401, 0.8901, 0.2500)
Pt (0.3365, 0.5865, 0.7500)
Pt (0.3701, 0.1452, 0.7544)
Pt (0.3701, 0.6156, 0.2248)
Pt (0.6299, 0.3844, 0.7752)
Pt (0.6299, 0.8548, 0.2456)
Pt (0.6635, 0.4135, 0.2500)
Pt (0.8599, 0.1099, 0.7500)
Pt (0.8908, 0.1452, 0.2752)
Pt (0.8908, 0.6156, 0.7456)

=====

(2)
Computed, not measured: an optimized crystal structure of MnCrAs2 at the GGA-PBE level of DFT.

Output
E	-27.6	eV/cell
space-group type	No. 47
E_form	0.130	eV/atom
energy relative to the lowest polymorph listed for this composition	225.7	meV/atom
density	6.66	g cm⁻³
Fermi-level density of states	2.34	states/eV/f.u.

Cell lengths 3.3797, 3.8733, 4.8885 Å; angles 90.00, 90.00, 90.00 degrees
Fractional positions:
Mn (0.0000, 0.0000, 0.0000)
Cr (0.0000, 0.5000, 0.5000)
As (0.5000, 0.0000, 0.5000)
As (0.5000, 0.5000, 0.0000)

=====

(3)
Computed, not measured: an optimized crystal structure of Pm2NdEr6Tm3 at the GGA-PBE level of DFT.

Output
E	-54.8	eV/cell
space-group type	No. 12
E_form	0.023	eV/atom
density	8.59	g cm⁻³
Fermi-level density of states	16.64	states/eV/f.u.

Cell lengths 6.1342, 6.1342, 11.7037 Å; angles 95.01, 95.01, 119.95 degrees
Fractional positions:
Pm (0.1667, 0.8333, 0.0000)
Pm (0.8333, 0.1667, 0.0000)
Nd (0.5000, 0.5000, 0.0000)
Er (0.0809, 0.4144, 0.7455)
Er (0.2521, 0.2521, 0.2545)
Er (0.4144, 0.0809, 0.7455)
Er (0.5856, 0.9191, 0.2545)
Er (0.7479, 0.7479, 0.7455)
Er (0.9191, 0.5856, 0.2545)
Tm (0.0000, 0.0000, 0.5000)
Tm (0.3333, 0.6667, 0.5000)
Tm (0.6667, 0.3333, 0.5000)

=====

(4)
Computed, not measured: an optimized crystal structure of LiAcPO4 at the GGA-PBE level of DFT.

Output
E	-97.0	eV/cell
space-group type	No. 11
ΔE_f (raw)	-2.460	eV/atom
density	5.45	g cm⁻³
Fermi-level density of states	0.80	states/eV/f.u.

Cell lengths 5.1501, 6.0769, 6.8282 Å; angles 90.00, 110.39, 90.00 degrees
Fractional positions:
Li (0.0535, 0.2500, 0.4204)
Li (0.9465, 0.7500, 0.5796)
Ac (0.2749, 0.2500, 0.0308)
Ac (0.7251, 0.7500, 0.9692)
P (0.3203, 0.7500, 0.3638)
P (0.6797, 0.2500, 0.6362)
O (0.1358, 0.5437, 0.2562)
O (0.1358, 0.9563, 0.2562)
O (0.3484, 0.7500, 0.5958)
O (0.4017, 0.2500, 0.6749)
O (0.5983, 0.7500, 0.3251)
O (0.6516, 0.2500, 0.4042)
O (0.8642, 0.0437, 0.7438)
O (0.8642, 0.4563, 0.7438)